1.
Ac3ScTl2 PBE relaxed; DOS at the Fermi energy = 28.452 states/eV/cell; formation enthalpy at 0 K = -0.21 eV/atom; E_tot = -4.11 eV per atom; symmetry = Pnma, No. 62
1.0
13.4396 0.0000 0.0000
0.0000 5.0517 0.0000
0.0000 0.0000 12.5921
Ac Sc Tl
12 4 8
Direct
0.0363 0.2500 0.1383 Ac
0.1745 0.7500 0.6124 Ac
0.2333 0.2500 0.8202 Ac
0.2667 0.7500 0.3202 Ac
0.3255 0.2500 0.1124 Ac
0.4637 0.7500 0.6383 Ac
0.5363 0.2500 0.3617 Ac
0.6745 0.7500 0.8876 Ac
0.7333 0.2500 0.6798 Ac
0.7667 0.7500 0.1798 Ac
0.8255 0.2500 0.3876 Ac
0.9637 0.7500 0.8617 Ac
0.0918 0.2500 0.4275 Sc
0.4082 0.7500 0.9275 Sc
0.5918 0.2500 0.0725 Sc
0.9082 0.7500 0.5725 Sc
0.0031 0.7500 0.3383 Tl
0.1839 0.7500 0.0054 Tl
0.3161 0.2500 0.5054 Tl
0.4969 0.2500 0.8383 Tl
0.5031 0.7500 0.1617 Tl
0.6839 0.7500 0.4946 Tl
0.8161 0.2500 0.9946 Tl
0.9969 0.2500 0.6617 Tl


2.
AcSc2Tl PBE relaxed; DOS at the Fermi energy = 5.610 states/eV/cell; formation enthalpy at 0 K = -0.03 eV/atom; E_tot = -4.82 eV per atom; excess energy over the best structure of this formula in the dataset = 19 kJ/mol of formula units; symmetry = P4/mmm, No. 123
1.0
4.8965 0.0000 0.0000
0.0000 4.8965 0.0000
0.0000 0.0000 4.7795
Ac Sc Tl
1 2 1
Direct
0.0000 0.0000 0.0000 Ac
0.0000 0.5000 0.5000 Sc
0.5000 0.0000 0.5000 Sc
0.5000 0.5000 0.0000 Tl


3.
AcSc3Tl2 PBE relaxed; DOS at the Fermi energy = 14.597 states/eV/cell; formation enthalpy at 0 K = -0.18 eV/atom; E_tot = -4.82 eV per atom; symmetry = C2/m, No. 12
1.0
8.7011 -2.4230 0.0000
8.7011 2.4230 0.0000
-4.1579 0.0000 8.2780
Ac Sc Tl
2 6 4
Direct
0.1440 0.1440 0.0680 Ac
0.8560 0.8560 0.9320 Ac
0.0439 0.0439 0.3815 Sc
0.3106 0.3106 0.5682 Sc
0.4114 0.4114 0.3426 Sc
0.5886 0.5886 0.6574 Sc
0.6894 0.6894 0.4318 Sc
0.9561 0.9561 0.6185 Sc
0.1957 0.1957 0.7215 Tl
0.4836 0.4836 0.8298 Tl
0.5164 0.5164 0.1702 Tl
0.8043 0.8043 0.2785 Tl


4.
AcScTl6 PBE relaxed; DOS at the Fermi energy = 2.710 states/eV/cell; formation enthalpy at 0 K = -0.20 eV/atom; E_tot = -3.28 eV per atom; symmetry = P4/mmm, No. 123
1.0
4.8749 0.0000 0.0000
0.0000 4.8749 0.0000
0.0000 0.0000 9.6035
Ac Sc Tl
1 1 6
Direct
0.0000 0.0000 0.0000 Ac
0.0000 0.0000 0.5000 Sc
0.0000 0.5000 0.2676 Tl
0.0000 0.5000 0.7324 Tl
0.5000 0.0000 0.2676 Tl
0.5000 0.0000 0.7324 Tl
0.5000 0.5000 0.0000 Tl
0.5000 0.5000 0.5000 Tl


5.
Ac6ScTl5 PBE relaxed; DOS at the Fermi energy = 16.253 states/eV/cell; formation enthalpy at 0 K = -0.25 eV/atom; E_tot = -3.81 eV per atom; symmetry = P2/m, No. 10
1.0
5.7912 0.0000 0.0000
0.0000 8.3403 0.0000
-2.8570 0.0000 8.7790
Ac Sc Tl
6 1 5
Direct
0.0000 0.2431 0.0000 Ac
0.0000 0.7569 0.0000 Ac
0.3311 0.2515 0.6622 Ac
0.3311 0.7485 0.6622 Ac
0.6689 0.2515 0.3378 Ac
0.6689 0.7485 0.3378 Ac
0.5000 0.5000 0.0000 Sc
0.1564 0.5000 0.3118 Tl
0.1683 0.0000 0.3374 Tl
0.5000 0.0000 0.0000 Tl
0.8317 0.0000 0.6626 Tl
0.8436 0.5000 0.6882 Tl


6.
Ac2ScTl PBE relaxed; DOS at the Fermi energy = 6.583 states/eV/cell; formation enthalpy at 0 K = -0.06 eV/atom; E_tot = -4.29 eV per atom; excess energy over the best structure of this formula in the dataset = 4 kJ/mol of formula units; symmetry = P4/mmm, No. 123
1.0
5.1878 0.0000 0.0000
0.0000 5.1878 0.0000
0.0000 0.0000 5.0212
Ac Sc Tl
2 1 1
Direct
0.0000 0.5000 0.0000 Ac
0.5000 0.0000 0.0000 Ac
0.0000 0.0000 0.5000 Sc
0.5000 0.5000 0.5000 Tl


7.
AcSc4Tl5 PBE relaxed; DOS at the Fermi energy = 8.105 states/eV/cell; formation enthalpy at 0 K = -0.26 eV/atom; E_tot = -4.39 eV per atom; symmetry = P4/mmm, No. 123
1.0
3.6830 0.0000 0.0000
0.0000 3.6830 0.0000
0.0000 0.0000 18.8439
Ac Sc Tl
1 4 5
Direct
0.0000 0.0000 0.0000 Ac
0.0000 0.0000 0.2204 Sc
0.0000 0.0000 0.4071 Sc
0.0000 0.0000 0.5929 Sc
0.0000 0.0000 0.7796 Sc
0.5000 0.5000 0.1274 Tl
0.5000 0.5000 0.3144 Tl
0.5000 0.5000 0.5000 Tl
0.5000 0.5000 0.6856 Tl
0.5000 0.5000 0.8726 Tl


8.
Ac3ScTl5 PBE relaxed; DOS at the Fermi energy = 20.105 states/eV/cell; formation enthalpy at 0 K = -0.31 eV/atom; E_tot = -3.70 eV per atom; symmetry = P6_3/mcm, No. 193
1.0
9.9041 0.0000 0.0000
-4.9520 8.5772 0.0000
0.0000 0.0000 6.8448
Ac Sc Tl
6 2 10
Direct
0.0000 0.3768 0.2500 Ac
0.0000 0.6232 0.7500 Ac
0.3768 0.0000 0.2500 Ac
0.3768 0.3768 0.7500 Ac
0.6232 0.0000 0.7500 Ac
0.6232 0.6232 0.2500 Ac
0.0000 0.0000 0.0000 Sc
0.0000 0.0000 0.5000 Sc
0.0000 0.2746 0.7500 Tl
0.0000 0.7254 0.2500 Tl
0.2746 0.0000 0.7500 Tl
0.2746 0.2746 0.2500 Tl
0.3333 0.6667 0.0000 Tl
0.3333 0.6667 0.5000 Tl
0.6667 0.3333 0.0000 Tl
0.6667 0.3333 0.5000 Tl
0.7254 0.0000 0.2500 Tl
0.7254 0.7254 0.7500 Tl


9.
AcSc2Tl3 PBE relaxed; DOS at the Fermi energy = 11.835 states/eV/cell; formation enthalpy at 0 K = -0.22 eV/atom; E_tot = -4.20 eV per atom; symmetry = Cmcm, No. 63
1.0
5.8512 -4.4069 0.0000
5.8512 4.4069 0.0000
0.0000 0.0000 6.7889
Ac Sc Tl
2 4 6
Direct
0.1494 0.8506 0.7500 Ac
0.8506 0.1494 0.2500 Ac
0.2873 0.2873 0.0000 Sc
0.2873 0.2873 0.5000 Sc
0.7127 0.7127 0.0000 Sc
0.7127 0.7127 0.5000 Sc
0.0480 0.6332 0.2500 Tl
0.3668 0.9520 0.2500 Tl
0.4738 0.5262 0.2500 Tl
0.5262 0.4738 0.7500 Tl
0.6332 0.0480 0.7500 Tl
0.9520 0.3668 0.7500 Tl


10.
AcSc2Tl PBE relaxed; DOS at the Fermi energy = 4.843 states/eV/cell; formation enthalpy at 0 K = -0.08 eV/atom; E_tot = -4.87 eV per atom; excess energy over the best structure of this formula in the dataset = 0 kJ/mol of formula units; symmetry = P4/mmm, No. 123
1.0
3.6323 0.0000 0.0000
0.0000 3.6323 0.0000
0.0000 0.0000 8.5157
Ac Sc Tl
1 2 1
Direct
0.0000 0.0000 0.0000 Ac
0.5000 0.5000 0.2895 Sc
0.5000 0.5000 0.7105 Sc
0.0000 0.0000 0.5000 Tl


11.
Ac2Sc3Tl4 PBE relaxed; DOS at the Fermi energy = 21.647 states/eV/cell; formation enthalpy at 0 K = -0.26 eV/atom; E_tot = -4.33 eV per atom; symmetry = Cmce, No. 64
1.0
3.4788 -8.5202 0.0000
3.4788 8.5202 0.0000
0.0000 0.0000 8.9370
Ac Sc Tl
4 6 8
Direct
0.1128 0.8872 0.9171 Ac
0.3872 0.6128 0.4171 Ac
0.6128 0.3872 0.5829 Ac
0.8872 0.1128 0.0829 Ac
0.0000 0.0000 0.5000 Sc
0.0342 0.4658 0.7500 Sc
0.4658 0.0342 0.2500 Sc
0.5000 0.5000 0.0000 Sc
0.5342 0.9658 0.7500 Sc
0.9658 0.5342 0.2500 Sc
0.1844 0.8156 0.5398 Tl
0.2062 0.2938 0.7500 Tl
0.2938 0.2062 0.2500 Tl
0.3156 0.6844 0.0398 Tl
0.6844 0.3156 0.9602 Tl
0.7062 0.7938 0.7500 Tl
0.7938 0.7062 0.2500 Tl
0.8156 0.1844 0.4602 Tl


12.
Ac4ScTl3 PBE relaxed; DOS at the Fermi energy = 10.984 states/eV/cell; formation enthalpy at 0 K = -0.19 eV/atom; E_tot = -3.93 eV per atom; symmetry = C2/m, No. 12
1.0
8.6322 -2.9453 0.0000
8.6322 2.9453 0.0000
-2.0024 0.0000 5.5398
Ac Sc Tl
4 1 3
Direct
0.1240 0.1240 0.1239 Ac
0.3760 0.3760 0.3763 Ac
0.6240 0.6240 0.6237 Ac
0.8760 0.8760 0.8761 Ac
0.0000 0.0000 0.5000 Sc
0.2439 0.2439 0.7437 Tl
0.5000 0.5000 0.0000 Tl
0.7561 0.7561 0.2563 Tl


13.
Ac5Sc4Tl4 PBE relaxed; DOS at the Fermi energy = 19.818 states/eV/cell; formation enthalpy at 0 K = -0.23 eV/atom; E_tot = -4.48 eV per atom; symmetry = I4/m, No. 87
1.0
-6.6161 6.6161 2.4566
6.6161 -6.6161 2.4566
6.6161 6.6161 -2.4566
Ac Sc Tl
5 4 4
Direct
0.0000 0.0000 0.0000 Ac
0.2971 0.3642 0.6613 Ac
0.3642 0.7029 0.0671 Ac
0.6358 0.2971 0.9329 Ac
0.7029 0.6358 0.3387 Ac
0.0975 0.5652 0.6627 Sc
0.4348 0.0975 0.5323 Sc
0.5652 0.9025 0.4677 Sc
0.9025 0.4348 0.3373 Sc
0.0550 0.2628 0.3178 Tl
0.2628 0.9450 0.2078 Tl
0.7372 0.0550 0.7922 Tl
0.9450 0.7372 0.6822 Tl


14.
Ac2ScTl8 PBE relaxed; DOS at the Fermi energy = 6.270 states/eV/cell; formation enthalpy at 0 K = -0.24 eV/atom; E_tot = -3.28 eV per atom; symmetry = P4/mmm, No. 123
1.0
5.0884 0.0000 0.0000
0.0000 5.0884 0.0000
0.0000 0.0000 13.1124
Ac Sc Tl
2 1 8
Direct
0.0000 0.0000 0.1901 Ac
0.0000 0.0000 0.8099 Ac
0.0000 0.0000 0.5000 Sc
0.0000 0.5000 0.0000 Tl
0.0000 0.5000 0.3742 Tl
0.0000 0.5000 0.6258 Tl
0.5000 0.0000 0.0000 Tl
0.5000 0.0000 0.3742 Tl
0.5000 0.0000 0.6258 Tl
0.5000 0.5000 0.1830 Tl
0.5000 0.5000 0.8170 Tl


15.
Ac3ScTl12 PBE relaxed; DOS at the Fermi energy = 7.712 states/eV/cell; formation enthalpy at 0 K = -0.25 eV/atom; E_tot = -3.19 eV per atom; symmetry = P4/mmm, No. 123
1.0
4.9578 0.0000 0.0000
0.0000 4.9578 0.0000
0.0000 0.0000 19.5357
Ac Sc Tl
3 1 12
Direct
0.0000 0.0000 0.0000 Ac
0.0000 0.0000 0.2632 Ac
0.0000 0.0000 0.7368 Ac
0.0000 0.0000 0.5000 Sc
0.0000 0.5000 0.1305 Tl
0.0000 0.5000 0.3905 Tl
0.0000 0.5000 0.6095 Tl
0.0000 0.5000 0.8695 Tl
0.5000 0.0000 0.1305 Tl
0.5000 0.0000 0.3905 Tl
0.5000 0.0000 0.6095 Tl
0.5000 0.0000 0.8695 Tl
0.5000 0.5000 0.0000 Tl
0.5000 0.5000 0.2532 Tl
0.5000 0.5000 0.5000 Tl
0.5000 0.5000 0.7468 Tl


16.
Ac2ScTl PBE relaxed; DOS at the Fermi energy = 6.857 states/eV/cell; formation enthalpy at 0 K = -0.02 eV/atom; E_tot = -4.25 eV per atom; excess energy over the best structure of this formula in the dataset = 20 kJ/mol of formula units; symmetry = Fm-3m, No. 225
1.0
0.0000 4.1127 4.1127
4.1127 0.0000 4.1127
4.1127 4.1127 0.0000
Ac Sc Tl
2 1 1
Direct
0.2500 0.2500 0.2500 Ac
0.7500 0.7500 0.7500 Ac
0.0000 0.0000 0.0000 Sc
0.5000 0.5000 0.5000 Tl


17.
Ac2ScTl PBE relaxed; DOS at the Fermi energy = 6.561 states/eV/cell; formation enthalpy at 0 K = -0.07 eV/atom; E_tot = -4.30 eV per atom; excess energy over the best structure of this formula in the dataset = 0 kJ/mol of formula units; symmetry = P4/mmm, No. 123
1.0
4.1805 0.0000 0.0000
0.0000 4.1805 0.0000
0.0000 0.0000 8.0410
Ac Sc Tl
2 1 1
Direct
0.0000 0.0000 0.2472 Ac
0.0000 0.0000 0.7528 Ac
0.5000 0.5000 0.5000 Sc
0.5000 0.5000 0.0000 Tl


18.
Ac2ScTl PBE relaxed; DOS at the Fermi energy = 4.980 states/eV/cell; formation enthalpy at 0 K = 0.18 eV/atom; E_tot = -4.04 eV per atom; excess energy over the best structure of this formula in the dataset = 98 kJ/mol of formula units; symmetry = R-3m, No. 166
1.0
1.8710 1.0802 12.5714
-1.8710 1.0802 12.5714
0.0000 -2.1604 12.5714
Ac Sc Tl
2 1 1
Direct
0.0922 0.0922 0.0922 Ac
0.9078 0.9078 0.9078 Ac
0.5000 0.5000 0.5000 Sc
0.0000 0.0000 0.0000 Tl


19.
Ac3ScTl3 PBE relaxed; DOS at the Fermi energy = 14.723 states/eV/cell; formation enthalpy at 0 K = -0.31 eV/atom; E_tot = -3.99 eV per atom; symmetry = C2/m, No. 12
1.0
6.3354 -2.4931 0.0000
6.3354 2.4931 0.0000
-5.7805 0.0000 15.4155
Ac Sc Tl
6 2 6
Direct
0.0140 0.0140 0.3781 Ac
0.0973 0.0973 0.9181 Ac
0.2427 0.2427 0.2258 Ac
0.7573 0.7573 0.7742 Ac
0.9027 0.9027 0.0819 Ac
0.9860 0.9860 0.6219 Ac
0.2632 0.2632 0.5883 Sc
0.7368 0.7368 0.4117 Sc
0.3670 0.3670 0.4506 Tl
0.3820 0.3820 0.9254 Tl
0.4618 0.4618 0.7640 Tl
0.5382 0.5382 0.2360 Tl
0.6180 0.6180 0.0746 Tl
0.6330 0.6330 0.5494 Tl


20.
AcSc2Tl PBE relaxed; DOS at the Fermi energy = 7.293 states/eV/cell; formation enthalpy at 0 K = 0.07 eV/atom; E_tot = -4.72 eV per atom; excess energy over the best structure of this formula in the dataset = 57 kJ/mol of formula units; symmetry = R-3m, No. 166
1.0
2.5628 1.4796 5.2603
-2.5628 1.4796 5.2603
0.0000 -2.9592 5.2603
Ac Sc Tl
1 2 1
Direct
0.0000 0.0000 0.0000 Ac
0.2176 0.2176 0.2176 Sc
0.7824 0.7824 0.7824 Sc
0.5000 0.5000 0.5000 Tl